*i*
Density functional theory data (PBE) for a geometry-optimized HoTmTe2 structure.

POSCAR file:
```
HoTmTe2
1.0
4.310 0.000 0.000
0.000 4.310 0.000
0.000 0.000 6.102
Ho Tm Te
1 1 2
Direct
0.000 0.000 0.000 Ho
0.500 0.500 0.500 Tm
0.000 0.000 0.500 Te
0.500 0.500 0.000 Te
```

Calculated values
The space group is P4/mmm. The calculation puts the mass density at 8.63 Mg/m³.



*ii*
Density functional theory data (PBE) for a geometry-optimized HoTmTe2 structure.

POSCAR file:
```
HoTmTe2
1.0
7.617 0.000 0.000
0.000 7.617 0.000
0.000 0.000 4.073
Ho Tm Te
2 2 4
Direct
0.000 0.500 0.193 Ho
0.500 0.000 0.807 Ho
0.000 0.000 0.000 Tm
0.500 0.500 0.000 Tm
0.214 0.286 0.691 Te
0.286 0.786 0.309 Te
0.714 0.214 0.309 Te
0.786 0.714 0.691 Te
```

Calculated values
The space group is P-42_1m. The calculation puts the mass density at 8.28 Mg/m³.



Q: Which of them is the least stable? A: *ii*.



*i*
Density functional theory data (PBE) for a geometry-optimized HoZnTe structure.

POSCAR file:
```
HoZnTe
1.0
0.000 3.433 3.433
3.433 0.000 3.433
3.433 3.433 0.000
Ho Zn Te
1 1 1
Direct
0.000 0.000 0.000 Ho
0.250 0.250 0.250 Zn
0.500 0.500 0.500 Te
```

Calculated values
The space group is F-43m. The calculation puts the mass density at 7.35 Mg/m³.



*ii*
Density functional theory data (PBE) for a geometry-optimized HoZnTe structure.

POSCAR file:
```
HoZnTe
1.0
0.000 3.528 3.528
3.528 0.000 3.528
3.528 3.528 0.000
Ho Zn Te
1 1 1
Direct
0.000 0.000 0.000 Ho
0.250 0.250 0.250 Zn
0.750 0.750 0.750 Te
```

Calculated values
The space group is F-43m. The calculation puts the mass density at 6.77 Mg/m³.



Q: Which of them is the least stable? A: *i*.



*i*
Density functional theory data (PBE) for a geometry-optimized HoTm structure.

POSCAR file:
```
HoTm
1.0
0.000 3.594 3.594
3.594 0.000 3.594
3.594 3.594 0.000
Ho Tm
1 1
Direct
0.000 0.000 0.000 Ho
0.750 0.750 0.750 Tm
```

Calculated values
The space group is F-43m. The calculation puts the mass density at 5.97 Mg/m³.



*ii*
Density functional theory data (PBE) for a geometry-optimized HoTm structure.

POSCAR file:
```
HoTm
1.0
3.554 0.000 0.000
-1.777 3.078 0.000
0.000 0.000 5.561
Ho Tm
1 1
Direct
0.000 0.000 0.000 Ho
0.667 0.333 0.500 Tm
```

Calculated values
The space group is P-6m2. The calculation puts the mass density at 9.11 Mg/m³.



*iii*
Density functional theory data (PBE) for a geometry-optimized HoTm structure.

POSCAR file:
```
HoTm
1.0
0.000 3.210 3.210
3.210 0.000 3.210
3.210 3.210 0.000
Ho Tm
1 1
Direct
0.000 0.000 0.000 Ho
0.500 0.500 0.500 Tm
```

Calculated values
The space group is Fm-3m. The calculation puts the mass density at 8.38 Mg/m³.



Q: Which of them is the least stable? A: *i*.



*i*
Density functional theory data (PBE) for a geometry-optimized Ho2W structure.

POSCAR file:
```
Ho2W
1.0
0.000 5.903 5.903
5.903 0.000 5.903
5.903 5.903 0.000
Ho W
4 2
Direct
0.000 0.000 0.000 Ho
0.000 0.000 0.500 Ho
0.000 0.500 0.000 Ho
0.500 0.000 0.000 Ho
0.125 0.125 0.125 W
0.875 0.875 0.875 W
```

Calculated values
The space group is Fd-3m. The calculation puts the mass density at 4.15 Mg/m³.



*ii*
Density functional theory data (PBE) for a geometry-optimized Ho2W structure.

POSCAR file:
```
Ho2W
1.0
0.000 4.130 4.130
4.130 0.000 4.130
4.130 4.130 0.000
Ho W
4 2
Direct
0.000 0.000 0.000 Ho
0.000 0.000 0.500 Ho
0.000 0.500 0.000 Ho
0.500 0.000 0.000 Ho
0.375 0.375 0.375 W
0.625 0.625 0.625 W
```

Calculated values
The space group is Fd-3m. The calculation puts the mass density at 12.11 Mg/m³.



Q: Which of them is the least stable? A: *i*.



*i*
Density functional theory data (PBE) for a geometry-optimized HoZnW structure.

POSCAR file:
```
HoZnW
1.0
0.000 3.326 3.326
3.326 0.000 3.326
3.326 3.326 0.000
Ho Zn W
1 1 1
Direct
0.000 0.000 0.000 Ho
0.250 0.250 0.250 Zn
0.750 0.750 0.750 W
```

Calculated values
The space group is F-43m. The calculation puts the mass density at 9.35 Mg/m³.



*ii*
Density functional theory data (PBE) for a geometry-optimized HoZnW structure.

POSCAR file:
```
HoZnW
1.0
0.000 3.165 3.165
3.165 0.000 3.165
3.165 3.165 0.000
Ho Zn W
1 1 1
Direct
0.000 0.000 0.000 Ho
0.250 0.250 0.250 Zn
0.500 0.500 0.500 W
```

Calculated values
The space group is F-43m. The calculation puts the mass density at 10.85 Mg/m³.



Q: Which of them is the least stable? A: *i*.



*i*
Density functional theory data (PBE) for a geometry-optimized YHo structure.

POSCAR file:
```
YHo
1.0
0.000 3.248 3.248
3.248 0.000 3.248
3.248 3.248 0.000
Y Ho
1 1
Direct
0.000 0.000 0.000 Y
0.500 0.500 0.500 Ho
```

Calculated values
The space group is Fm-3m. The calculation puts the mass density at 6.15 Mg/m³.



*ii*
Density functional theory data (PBE) for a geometry-optimized YHo structure.

POSCAR file:
```
YHo
1.0
5.629 0.000 0.000
0.000 3.625 6.279
0.000 -3.625 6.279
Y Ho
4 4
Direct
0.000 0.000 0.000 Y
0.000 0.001 0.500 Y
0.000 0.500 0.001 Y
0.500 0.667 0.667 Y
0.000 0.500 0.500 Ho
0.500 0.167 0.167 Ho
0.500 0.167 0.666 Ho
0.500 0.666 0.167 Ho
```

Calculated values
The space group is Amm2. The calculation puts the mass density at 6.58 Mg/m³.



*iii*
Density functional theory data (PBE) for a geometry-optimized YHo structure.

POSCAR file:
```
YHo
1.0
0.000 3.448 3.448
3.448 0.000 3.448
3.448 3.448 0.000
Y Ho
1 1
Direct
0.000 0.000 0.000 Y
0.250 0.250 0.250 Ho
```

Calculated values
The space group is F-43m. The calculation puts the mass density at 5.14 Mg/m³.



Q: Which of them is the least stable? A: *iii*.



*i*
Density functional theory data (PBE) for a geometry-optimized YHo2 structure.

POSCAR file:
```
YHo2
1.0
0.000 4.615 4.615
4.615 0.000 4.615
4.615 4.615 0.000
Y Ho
2 4
Direct
0.125 0.125 0.125 Y
0.875 0.875 0.875 Y
0.000 0.500 0.500 Ho
0.500 0.000 0.500 Ho
0.500 0.500 0.000 Ho
0.500 0.500 0.500 Ho
```

Calculated values
The space group is Fd-3m. The calculation puts the mass density at 7.07 Mg/m³.



*ii*
Density functional theory data (PBE) for a geometry-optimized YHo2 structure.

POSCAR file:
```
YHo2
1.0
0.000 7.155 7.155
7.155 0.000 7.155
7.155 7.155 0.000
Y Ho
2 4
Direct
0.125 0.125 0.125 Y
0.875 0.875 0.875 Y
0.000 0.000 0.000 Ho
0.000 0.000 0.500 Ho
0.000 0.500 0.000 Ho
0.500 0.000 0.000 Ho
```

Calculated values
The space group is Fd-3m. The calculation puts the mass density at 1.90 Mg/m³.



Q: Which of them is the least stable? A: *ii*.



*i*
Density functional theory data (PBE) for a geometry-optimized Ho3Zn4 structure.

POSCAR file:
```
Ho3Zn4
1.0
8.645 0.000 0.000
-4.323 7.487 0.000
0.000 0.000 4.610
Ho Zn
6 8
Direct
0.099 0.442 0.250 Ho
0.343 0.901 0.250 Ho
0.442 0.343 0.750 Ho
0.558 0.657 0.250 Ho
0.657 0.099 0.750 Ho
0.901 0.558 0.750 Ho
0.037 0.208 0.750 Zn
0.171 0.963 0.750 Zn
0.208 0.171 0.250 Zn
0.333 0.667 0.750 Zn
0.667 0.333 0.250 Zn
0.792 0.829 0.750 Zn
0.829 0.037 0.250 Zn
0.963 0.792 0.250 Zn
```

Calculated values
The space group is P6_3/m. The calculation puts the mass density at 8.42 Mg/m³.



*ii*
Density functional theory data (PBE) for a geometry-optimized Ho3Zn4 structure.

POSCAR file:
```
Ho3Zn4
1.0
8.257 0.000 0.000
-4.129 7.151 0.000
0.000 0.000 5.103
Ho Zn
6 8
Direct
0.083 0.802 0.250 Ho
0.198 0.281 0.250 Ho
0.281 0.083 0.750 Ho
0.719 0.917 0.250 Ho
0.802 0.719 0.750 Ho
0.917 0.198 0.750 Ho
0.118 0.621 0.750 Zn
0.333 0.667 0.250 Zn
0.379 0.496 0.750 Zn
0.496 0.118 0.250 Zn
0.504 0.882 0.750 Zn
0.621 0.504 0.250 Zn
0.667 0.333 0.750 Zn
0.882 0.379 0.250 Zn
```

Calculated values
The space group is P6_3/m. The calculation puts the mass density at 8.34 Mg/m³.



Q: Which of them is the least stable? A: *ii*.



*i*
Density functional theory data (PBE) for a geometry-optimized IrI structure.

POSCAR file:
```
IrI
1.0
3.719 0.000 0.000
-1.860 3.221 0.000
0.000 0.000 3.647
Ir I
1 1
Direct
0.000 0.000 0.000 Ir
0.333 0.667 0.500 I
```

Calculated values
The space group is P-6m2. The calculation puts the mass density at 12.13 Mg/m³.



*ii*
Density functional theory data (PBE) for a geometry-optimized IrI structure.

POSCAR file:
```
IrI
1.0
0.000 2.989 2.989
2.989 0.000 2.989
2.989 2.989 0.000
Ir I
1 1
Direct
0.000 0.000 0.000 Ir
0.250 0.250 0.250 I
```

Calculated values
The space group is F-43m. The calculation puts the mass density at 9.92 Mg/m³.



*iii*
Density functional theory data (PBE) for a geometry-optimized IrI structure.

POSCAR file:
```
IrI
1.0
0.000 2.771 2.771
2.771 0.000 2.771
2.771 2.771 0.000
Ir I
1 1
Direct
0.000 0.000 0.000 Ir
0.500 0.500 0.500 I
```

Calculated values
The space group is Fm-3m. The calculation puts the mass density at 12.45 Mg/m³.



Q: Which of them is the least stable? A: *i*.



*i*
Density functional theory data (PBE) for a geometry-optimized K2LiTcI6 structure.

POSCAR file:
```
K2LiTcI6
1.0
-4.035 4.035 5.698
4.035 -4.035 5.698
4.035 4.035 -5.698
K Li Tc I
2 1 1 6
Direct
0.250 0.750 0.500 K
0.750 0.250 0.500 K
0.000 0.000 0.000 Li
0.500 0.500 0.000 Tc
0.258 0.258 0.000 I
0.259 0.259 0.517 I
0.259 0.741 0.000 I
0.741 0.259 0.000 I
0.741 0.741 0.483 I
0.742 0.742 0.000 I
```

Calculated values
The space group is I4/mmm. The calculation puts the mass density at 4.23 Mg/m³.



*ii*
Density functional theory data (PBE) for a geometry-optimized K2LiTcI6 structure.

POSCAR file:
```
K2LiTcI6
1.0
-3.900 3.900 5.982
3.900 -3.900 5.982
3.900 3.900 -5.982
K Li Tc I
2 1 1 6
Direct
0.250 0.750 0.500 K
0.750 0.250 0.500 K
0.000 0.000 0.000 Li
0.500 0.500 0.000 Tc
0.195 0.680 0.876 I
0.267 0.267 0.000 I
0.320 0.195 0.515 I
0.680 0.805 0.485 I
0.733 0.733 0.000 I
0.805 0.320 0.124 I
```

Calculated values
The space group is I4/m. The calculation puts the mass density at 4.31 Mg/m³.



Q: Which of them is the least stable? A: *i*.



*i*
Density functional theory data (PBE) for a geometry-optimized K3SmI6 structure.

POSCAR file:
```
K3SmI6
1.0
4.495 2.595 7.173
-4.495 2.595 7.173
0.000 -5.190 7.173
K Sm I
3 1 6
Direct
0.000 0.000 0.000 K
0.288 0.288 0.288 K
0.712 0.712 0.712 K
0.500 0.500 0.500 Sm
0.153 0.711 0.384 I
0.289 0.616 0.847 I
0.384 0.153 0.711 I
0.616 0.847 0.289 I
0.711 0.384 0.153 I
0.847 0.289 0.616 I
```

Calculated values
The space group is R-3. The calculation puts the mass density at 3.40 Mg/m³.



*ii*
Density functional theory data (PBE) for a geometry-optimized K3SmI6 structure.

POSCAR file:
```
K3SmI6
1.0
8.448 0.000 0.000
0.000 9.106 0.000
-8.222 0.000 12.254
K Sm I
6 2 12
Direct
0.000 0.000 0.000 K
0.000 0.500 0.500 K
0.206 0.090 0.744 K
0.206 0.410 0.244 K
0.794 0.590 0.756 K
0.794 0.910 0.256 K
0.500 0.000 0.500 Sm
0.500 0.500 0.000 Sm
0.140 0.177 0.437 I
0.140 0.323 0.937 I
0.260 0.713 0.423 I
0.260 0.787 0.923 I
0.409 0.054 0.268 I
0.409 0.446 0.768 I
0.591 0.554 0.232 I
0.591 0.946 0.732 I
0.740 0.213 0.077 I
0.740 0.287 0.577 I
0.860 0.677 0.063 I
0.860 0.823 0.563 I
```

Calculated values
The space group is P2_1/c. The calculation puts the mass density at 3.63 Mg/m³.



Q: Which of them is the least stable? A: *i*.



*i*
Density functional theory data (PBE) for a geometry-optimized LaPrI3N structure.

POSCAR file:
```
LaPrI3N
1.0
10.334 -2.092 0.000
10.334 2.092 0.000
-7.624 0.000 10.478
La Pr I N
2 2 6 2
Direct
0.132 0.132 0.275 La
0.868 0.868 0.725 La
0.430 0.430 0.037 Pr
0.570 0.570 0.963 Pr
0.036 0.036 0.747 I
0.216 0.216 0.123 I
0.332 0.332 0.493 I
0.668 0.668 0.507 I
0.784 0.784 0.877 I
0.964 0.964 0.253 I
0.429 0.429 0.852 N
0.571 0.571 0.148 N
```

Calculated values
The space group is C2/m. The calculation puts the mass density at 4.95 Mg/m³.



*ii*
Density functional theory data (PBE) for a geometry-optimized LaPrI3N structure.

POSCAR file:
```
LaPrI3N
1.0
10.096 -2.093 0.000
10.096 2.093 0.000
-7.369 0.000 10.430
La Pr I N
2 2 6 2
Direct
0.072 0.072 0.461 La
0.928 0.928 0.539 La
0.367 0.367 0.224 Pr
0.633 0.633 0.776 Pr
0.168 0.168 0.007 I
0.278 0.278 0.373 I
0.465 0.465 0.761 I
0.535 0.535 0.239 I
0.722 0.722 0.627 I
0.832 0.832 0.993 I
0.071 0.071 0.646 N
0.929 0.929 0.354 N
```

Calculated values
The space group is C2/m. The calculation puts the mass density at 5.08 Mg/m³.



Q: Which of them is the least stable? A: *ii*.